DFT (PBE with a Hubbard U) results for crystalline Li3NbV4O8 at its relaxed geometry.

Unit cell a=6.045 b=6.045 c=6.053 alpha=119.00 beta=119.00 gamma=61.83
Atoms (fractional coordinates):
Li 0.000 0.000 0.000
Li 0.000 0.500 0.000
Li 0.500 0.000 0.000
Nb 0.500 0.500 0.500
V 0.000 0.000 0.500
V 0.000 0.500 0.500
V 0.500 0.000 0.500
V 0.500 0.500 0.000
O 0.243 0.243 0.737
O 0.245 0.754 0.255
O 0.246 0.755 0.745
O 0.263 0.263 0.264
O 0.737 0.737 0.736
O 0.754 0.245 0.255
O 0.755 0.246 0.745
O 0.757 0.757 0.263

Its symmetry is No. 12. The density is 4.60 g/cm³. The calculation puts the total energy at -7.30 eV/atom.